PmPr2Sm6Er3 | PBE-GGA | optimized geometry

The structure in POSCAR format:
```
PmPr2Sm6Er3
1.0
3.134 -5.428 0.000
3.134 5.428 0.000
-2.088 0.000 11.781
Pm Pr Sm Er
1 2 6 3
direct
0.000 0.000 0.000
0.333 0.667 0.000
0.667 0.333 0.000
0.085 0.418 0.255
0.248 0.248 0.745
0.418 0.085 0.255
0.582 0.915 0.745
0.752 0.752 0.255
0.915 0.582 0.745
0.167 0.833 0.500
0.500 0.500 0.500
0.833 0.167 0.500
```

Properties
Energy of formation: 0.22 eV/f.u.
V: 33.4 Å³/atom
Total energy: -4.674 eV/atom
Magnetic moment: 0.0 μB per cell